(1)
# CoReIr2

CoReIr2 after structural relaxation (PBE, Alexandria).

Lattice parameters (Å, degrees): 2.7312 4.2753 4.7249 90.00 90.00 90.00
Space group Pmm2 (No. 25)
Asymmetric unit:
Co: 0.0000 0.0000 0.0000 (multiplicity 1)
Re: 0.0000 0.5000 0.3231 (multiplicity 1)
Ir: 0.5000 0.0000 0.5008 (multiplicity 1)
Ir: 0.5000 0.5000 0.8467 (multiplicity 1)

Properties
Crystal system = orthorhombic
Excess energy over the best structure of this formula in the dataset = 0.8 kJ/mol of atoms
Fermi-level density of states = 1.08 states/eV per atom
Energy relative to the elements = -88 meV/atom

(2)
# CoReIr2

CoReIr2 after structural relaxation (PBE, Alexandria).

Lattice parameters (Å, degrees): 3.8215 3.8215 7.5247 90.00 90.00 90.00
Space group I4/mmm (No. 139)
Asymmetric unit:
Co: 0.0000 0.0000 0.0000 (multiplicity 2)
Re: 0.0000 0.0000 0.5000 (multiplicity 2)
Ir: 0.0000 0.5000 0.2500 (multiplicity 4)

Properties
Crystal system = tetragonal
Excess energy over the best structure of this formula in the dataset = 1.3 kJ/mol of atoms
Fermi-level density of states = 0.96 states/eV per atom
Energy relative to the elements = -83 meV/atom

(3)
# Co3ReIr

Co3ReIr after structural relaxation (PBE, Alexandria).

Lattice parameters (Å, degrees): 4.3505 4.3505 4.3505 90.00 90.00 90.00
Space group Pm-3m (No. 221)
Asymmetric unit:
Co: 0.0000 0.0000 0.5000 (multiplicity 3)
Re: 0.0000 0.0000 0.0000 (multiplicity 1)
Ir: 0.5000 0.5000 0.5000 (multiplicity 1)

Properties
Crystal system = cubic
Excess energy over the best structure of this formula in the dataset = 0.0 kJ/mol of atoms
Fermi-level density of states = 1.82 states/eV per atom
Energy relative to the elements = 1770 meV/atom

(4)
# CoRe2Ir

CoRe2Ir after structural relaxation (PBE, Alexandria).

Lattice parameters (Å, degrees): 3.7595 3.7595 7.7862 90.00 90.00 90.00
Space group I4/mmm (No. 139)
Asymmetric unit:
Co: 0.0000 0.0000 0.0000 (multiplicity 2)
Re: 0.0000 0.5000 0.2500 (multiplicity 4)
Ir: 0.0000 0.0000 0.5000 (multiplicity 2)

Properties
Crystal system = tetragonal
Excess energy over the best structure of this formula in the dataset = 11.7 kJ/mol of atoms
Fermi-level density of states = 1.10 states/eV per atom
Energy relative to the elements = -34 meV/atom